# 1
Entry from the Alexandria database: an optimized crystal structure of SrTe2Pt (PBE-GGA).

abc: 6.2513 6.2513 6.2513
angles: 141.97 132.95 62.02
Positions (direct):
Sr (0.0000, 0.0000, 0.0000)
Te (0.2726, 0.7726, 0.5000)
Te (0.5431, 0.5431, 0.0000)
Pt (0.7068, 0.2068, 0.5000)

The value obtained for the uncorrected formation energy is -573.3 meV per atom. Its energy above the lowest structure with this stoichiometry is 359 meV per atom. As for the space group: No. 44.

# 2
Entry from the Alexandria database: an optimized crystal structure of SrTe2Pt (PBE-GGA).

abc: 5.7353 5.7353 6.4256
angles: 112.62 112.62 42.56
Positions (direct):
Sr (0.0000, 0.0000, 0.0000)
Te (0.3551, 0.3551, 0.2542)
Te (0.6449, 0.6449, 0.7458)
Pt (0.0000, 0.0000, 0.5000)

The value obtained for the uncorrected formation energy is -931.8 meV per atom. Its energy above the lowest structure with this stoichiometry is 0 meV per atom. As for the space group: No. 12.

# 3
Entry from the Alexandria database: an optimized crystal structure of SrTe2Pt (PBE-GGA).

abc: 8.8945 8.8945 8.8945
angles: 139.58 139.58 58.49
Positions (direct):
Sr (0.0000, 0.0000, 0.0000)
Sr (0.7500, 0.2500, 0.5000)
Te (0.2168, 0.6250, 0.0918)
Te (0.3750, 0.4668, 0.5918)
Te (0.5332, 0.1250, 0.9082)
Te (0.8750, 0.7832, 0.4082)
Pt (0.2500, 0.7500, 0.5000)
Pt (0.5000, 0.5000, 0.0000)

The value obtained for the uncorrected formation energy is -614.8 meV per atom. Its energy above the lowest structure with this stoichiometry is 317 meV per atom. As for the space group: No. 122.

# 4
Entry from the Alexandria database: an optimized crystal structure of SrTe2Pt (PBE-GGA).

abc: 9.7140 9.7140 9.7140
angles: 24.39 24.39 24.39
Positions (direct):
Sr (0.0000, 0.0000, 0.0000)
Te (0.1178, 0.1178, 0.1178)
Te (0.8822, 0.8822, 0.8822)
Pt (0.5000, 0.5000, 0.5000)

The value obtained for the uncorrected formation energy is -377.0 meV per atom. Its energy above the lowest structure with this stoichiometry is 555 meV per atom. As for the space group: No. 166.

# 5
Entry from the Alexandria database: an optimized crystal structure of SrTe2Pt (PBE-GGA).

abc: 6.1433 6.1433 6.1433
angles: 57.86 57.86 57.86
Positions (direct):
Sr (0.0000, 0.0000, 0.0000)
Te (0.3369, 0.3369, 0.3369)
Te (0.6631, 0.6631, 0.6631)
Pt (0.5000, 0.5000, 0.5000)

The value obtained for the uncorrected formation energy is -407.4 meV per atom. Its energy above the lowest structure with this stoichiometry is 524 meV per atom. As for the space group: No. 166.

# 6
Entry from the Alexandria database: an optimized crystal structure of SrTe2Pt (PBE-GGA).

abc: 6.7859 6.7859 6.7859
angles: 145.32 132.15 60.43
Positions (direct):
Sr (0.0000, 0.0000, 0.0000)
Te (0.3471, 0.8471, 0.5000)
Te (0.6529, 0.1529, 0.5000)
Pt (0.5000, 0.5000, 0.0000)

The value obtained for the uncorrected formation energy is -867.1 meV per atom. Its energy above the lowest structure with this stoichiometry is 65 meV per atom. As for the space group: No. 71.

# 7
Entry from the Alexandria database: an optimized crystal structure of SrTePt (PBE-GGA).

abc: 4.6199 4.6199 4.4044
angles: 90.00 90.00 120.00
Positions (direct):
Sr (0.0000, 0.0000, 0.0000)
Te (0.6667, 0.3333, 0.5000)
Pt (0.3333, 0.6667, 0.5000)

The value obtained for the uncorrected formation energy is -1093.5 meV per atom. Its energy above the lowest structure with this stoichiometry is 6 meV per atom. As for the space group: No. 187.

# 8
Entry from the Alexandria database: an optimized crystal structure of Sr4TePt (PBE-GGA).

abc: 6.7898 6.7898 6.7898
angles: 60.00 60.00 60.00
Positions (direct):
Sr (0.1252, 0.1252, 0.1252)
Sr (0.1252, 0.1252, 0.6244)
Sr (0.1252, 0.6244, 0.1252)
Sr (0.6244, 0.1252, 0.1252)
Te (0.7500, 0.7500, 0.7500)
Pt (0.5000, 0.5000, 0.5000)

The value obtained for the uncorrected formation energy is 222.0 meV per atom. As for the space group: No. 216.